No. 1
An optimized crystal structure of CaTcIr3. Source: Alexandria, functional PBE.

abc: 4.763 4.763 4.763
angles: 90.00 90.00 90.00
Fractional positions:
Ca: 0.500 0.500 0.500
Ir: 0.000 0.500 0.000
Ir: 0.000 0.000 0.500
Ir: 0.500 0.000 0.000
Tc: 0.000 0.000 0.000

Summary:
Magnetization = 0.00 μB/cell
Raw total energy = -6.965 eV per atom
Space-group type = Pm-3m
Distance to the lowest polymorph of the same formula = 0.0 meV/atom
Formation energy = 0.83 eV per atom



No. 2
An optimized crystal structure of Er2Mn2ZnNi5. Source: Alexandria, functional PBE.

abc: 3.616 9.093 9.093
angles: 90.00 90.00 90.00
Site moments in Bohr magnetons follow the coordinates.
Fractional positions:
Er: 0.000 0.680 0.180  -0.06
Er: 0.000 0.320 0.820  -0.06
Er: 0.000 0.180 0.320  -0.06
Er: 0.000 0.820 0.680  -0.06
Mn: 0.000 0.119 0.619  3.12
Mn: 0.000 0.881 0.381  3.12
Mn: 0.000 0.619 0.881  3.12
Mn: 0.000 0.381 0.119  3.12
Zn: 0.000 0.000 0.000  0.00
Zn: 0.000 0.500 0.500  0.00
Ni: 0.500 0.204 0.058  0.39
Ni: 0.500 0.796 0.942  0.39
Ni: 0.500 0.058 0.796  0.39
Ni: 0.500 0.704 0.442  0.39
Ni: 0.500 0.942 0.204  0.39
Ni: 0.500 0.296 0.558  0.39
Ni: 0.500 0.558 0.704  0.39
Ni: 0.500 0.442 0.296  0.39
Ni: 0.500 0.500 0.000  0.55
Ni: 0.500 0.000 0.500  0.55

Summary:
Magnetization = 16.40 μB/cell
Raw total energy = -5.917 eV per atom
Space-group type = P4/mbm
Formation energy = -0.15 eV per atom



No. 3
An optimized crystal structure of Sc6BeCu5. Source: Alexandria, functional PBE.

abc: 4.609 6.449 7.277
angles: 90.00 108.36 90.00
Fractional positions:
Sc: 0.834 0.752 0.669
Sc: 0.834 0.248 0.669
Sc: 0.500 0.248 0.000
Sc: 0.500 0.752 0.000
Sc: 0.166 0.752 0.331
Sc: 0.166 0.248 0.331
Be: 0.000 0.000 0.000
Cu: 0.669 0.500 0.337
Cu: 0.337 0.000 0.675
Cu: 0.000 0.500 0.000
Cu: 0.663 0.000 0.325
Cu: 0.331 0.500 0.663

Summary:
Magnetization = 0.00 μB/cell
Raw total energy = -5.417 eV per atom
Space-group type = P2/m
Formation energy = -0.23 eV per atom



No. 4
An optimized crystal structure of In2TcW. Source: Alexandria, functional PBE.

abc: 3.221 4.817 4.676
angles: 90.00 90.00 90.00
Fractional positions:
In: 0.000 0.000 0.000
In: 0.500 0.500 0.000
Tc: 0.500 0.000 0.500
W: 0.000 0.500 0.500

Summary:
Magnetization = 0.00 μB/cell
Raw total energy = -6.588 eV per atom
Space-group type = Pmmm
Distance to the lowest polymorph of the same formula = 442.4 meV/atom
Formation energy = 0.61 eV per atom



No. 5
An optimized crystal structure of MnTcAs2Se. Source: Alexandria, functional PBE.

abc: 4.546 4.546 4.906
angles: 90.00 90.00 90.00
Site moments in Bohr magnetons follow the coordinates.
Fractional positions:
As: 0.000 0.500 0.000  -0.19
As: 0.500 0.000 0.000  -0.19
Mn: 0.000 0.000 0.000  2.28
Tc: 0.500 0.500 0.500  2.79
Se: 0.000 0.000 0.500  -0.08

Summary:
Formation energy from raw total energies = 854 meV/atom
Magnetization = 4.87 μB/cell
Raw total energy = -5.610 eV per atom
Space-group type = P4/mmm
Distance to the lowest polymorph of the same formula = 238.0 meV/atom



No. 6
An optimized crystal structure of LiLaSmHg. Source: Alexandria, functional PBE.

abc: 5.417 5.417 5.417
angles: 60.00 60.00 60.00
Site moments in Bohr magnetons follow the coordinates.
Fractional positions:
Li: 0.000 0.000 0.000  0.01
Hg: 0.500 0.500 0.500  0.01
Sm: 0.750 0.750 0.750  0.12
La: 0.250 0.250 0.250  0.09

Summary:
Magnetization = 0.46 μB/cell
Raw total energy = -3.171 eV per atom
Space-group type = F-43m
Formation energy = -0.21 eV per atom